1.
VASP calculation (PBEsol) on crystalline SrPbBr3 at its relaxed geometry.

Summary:
Its raw formation energy is -1035.7 meV/atom. Its crystal system is cubic. The value obtained for the volume is 38.36 Å³/atom.

Unit cell a=5.767 b=5.767 c=5.767 alpha=90.00 beta=90.00 gamma=90.00
Each line ends with the local moment (μB).
Element x y z (fractional)
Pb 0.500 0.500 0.500  0.36
Sr 0.000 0.000 0.000  0.00
Br 0.000 0.500 0.000  0.00
Br 0.000 0.000 0.500  0.00
Br 0.500 0.000 0.000  0.00

2.
VASP calculation (PBEsol) on crystalline Sr2PbBr at its relaxed geometry.

Summary:
Its raw formation energy is -1045.9 meV/atom. For the relative energy among the computed polymorphs, the calculation gives 0.16 eV per formula unit. Its crystal system is orthorhombic. The value obtained for the volume is 33.54 Å³/atom.

Unit cell a=3.874 b=5.496 c=6.593 alpha=90.00 beta=107.08 gamma=90.00
Element x y z (fractional)
Pb 0.261 0.000 0.521
Sr 0.994 0.000 0.989
Sr 0.744 0.500 0.488
Br 0.501 0.500 0.002

3.
VASP calculation (PBEsol) on crystalline Sr2PbBr at its relaxed geometry.

Summary:
Its raw formation energy is -1084.6 meV/atom. For the relative energy among the computed polymorphs, the calculation gives 0.00 eV per formula unit. Its crystal system is orthorhombic. The value obtained for the volume is 36.15 Å³/atom.

Unit cell a=3.977 b=4.211 c=8.634 alpha=90.04 beta=90.00 gamma=90.00
Element x y z (fractional)
Pb 0.500 0.500 0.000
Sr 0.000 0.000 0.780
Sr 0.000 0.000 0.220
Br 0.500 0.000 0.500

4.
VASP calculation (PBEsol) on crystalline TaPb2Br at its relaxed geometry.

Summary:
Its raw formation energy is 343.2 meV/atom. For the relative energy among the computed polymorphs, the calculation gives 0.00 eV per formula unit. Its crystal system is trigonal. The value obtained for the volume is 23.59 Å³/atom.

Unit cell a=3.323 b=3.323 c=10.050 alpha=80.48 beta=80.48 gamma=60.00
Element x y z (fractional)
Pb 0.248 0.248 0.255
Pb 0.752 0.752 0.745
Br 0.000 0.000 0.000
Ta 0.500 0.500 0.500

Which value of raw formation energy does entry 4 give? 343.2 meV/atom